The following is a PBE-GGA calculation of a geometry-optimized ZrGa2Ni structure, from OQMD.

extended XYZ file:
```
4
Lattice="0.000 3.170 3.170 3.170 0.000 3.170 3.170 3.170 0.000" Properties=species:S:1:pos:R:3 pbc="T T T"
Zr 0.000 0.000 0.000
Ga 1.585 1.585 1.585
Ga 3.170 3.170 3.170
Ni 4.756 4.756 4.756
```

Output
* spin magnetization: 0.0 Bohr magnetons per cell
* calculated total energy: -5.346 eV/atom